(1)
The following is a GGA-PBE calculation of crystalline Tl5Br2F3 at its relaxed geometry, from Alexandria.

a = 7.9300 Å, b = 7.9300 Å, c = 10.3629 Å
α = 116.04°, β = 116.04°, γ = 32.21°
Last column: nearest neighbours and their distance in Å.
Positions (direct):
Tl1 0.0000 0.0000 0.0000  2 F 2.75
Tl2 0.1010 0.1010 0.4268  1 F 2.52
Tl3 0.3507 0.3507 0.2313  3 F 2.61-2.67
Tl4 0.6493 0.6493 0.7687  3 F 2.61-2.67
Tl5 0.8990 0.8990 0.5732  1 F 2.52
Br1 0.3392 0.3392 0.7596  7 Tl 3.32-3.69
Br2 0.6608 0.6608 0.2404  7 Tl 3.32-3.69
F1 0.0657 0.0657 0.7929  4 Tl 2.52-2.75
F2 0.5000 0.5000 0.5000  6 Tl 2.67-2.97
F3 0.9343 0.9343 0.2071  4 Tl 2.52-2.75

Output
- VASP energy (eV per cell) = -34.56
- symmetry = No. 12

---

(2)
The following is a GGA-PBE calculation of crystalline Tl3BrF at its relaxed geometry, from Alexandria.

a = 6.1841 Å, b = 6.1841 Å, c = 6.1841 Å
α = 90.00°, β = 90.00°, γ = 90.00°
Last column: nearest neighbours and their distance in Å.
Positions (direct):
Tl1 0.0000 0.0000 0.5000  2 Br 3.09
Tl2 0.0000 0.5000 0.0000  2 Br 3.09
Tl3 0.5000 0.0000 0.0000  2 Br 3.09
Br1 0.0000 0.0000 0.0000  6 Tl 3.09
F1 0.5000 0.5000 0.5000  12 Tl 4.37

Output
- VASP energy (eV per cell) = -12.52
- symmetry = No. 221

---

(3)
The following is a GGA-PBE calculation of crystalline Tl4Br3F at its relaxed geometry, from Alexandria.

a = 9.2237 Å, b = 9.2237 Å, c = 9.2237 Å
α = 151.30°, β = 130.01°, γ = 58.66°
Last column: nearest neighbours and their distance in Å.
Positions (direct):
Tl1 0.1283 0.8850 0.2433  1 F 2.65
Tl2 0.3583 0.1150 0.2433  1 F 2.65
Tl3 0.6417 0.8850 0.7567  1 F 2.65
Tl4 0.8717 0.1150 0.7567  1 F 2.65
Br1 0.2043 0.7043 0.5000  6 Tl 3.30-3.53
Br2 0.5000 0.5000 0.0000  8 Tl 3.56
Br3 0.7957 0.2957 0.5000  6 Tl 3.30-3.53
F1 0.0000 0.0000 0.0000  4 Tl 2.65

Output
- VASP energy (eV per cell) = -24.80
- symmetry = No. 71

---

(4)
The following is a GGA-PBE calculation of crystalline TlBr2F4 at its relaxed geometry, from Alexandria.

a = 7.9027 Å, b = 7.9027 Å, c = 7.9027 Å
α = 145.80°, β = 145.80°, γ = 49.14°
Last column: nearest neighbours and their distance in Å.
Positions (direct):
Tl1 0.0000 0.0000 0.0000  4 F 2.32
Br1 0.3362 0.3362 0.0000  1 F 1.81
Br2 0.6638 0.6638 0.0000  1 F 1.81
F1 0.0000 0.5000 0.5000  2 Tl 2.32
F2 0.2101 0.2101 0.0000  1 Br 1.81
F3 0.5000 0.0000 0.5000  2 Tl 2.32
F4 0.7899 0.7899 0.0000  1 Br 1.81

Output
- VASP energy (eV per cell) = -19.30
- symmetry = No. 139

---

The records above give, respectively, uncorrected formation energy values of -132.8 -36.2 -101.9 -84.1 kJ per mole of atoms.